Entry 1:
Material: HoTcGe2Ru
Method: DFT, PBE
State: optimized geometry

Properties
Electronic total energy   -7.194 eV/atom
Energy of formation   -48.6 kJ/mol of atoms
D(E_F)   8.93 states/eV/cell
Size of the total moment   0.000 μB/f.u.

```
data_HoTcGe2Ru
_chemical_formula_sum 'Ho2 Tc2 Ge4 Ru2'
_symmetry_space_group_name_H-M 'I -4 m 2'
_symmetry_Int_Tables_number 119
_symmetry_space_group_name_Hall 'I -4 -2'
_cell_length_a 4.256
_cell_length_b 4.256
_cell_length_c 10.009
_cell_angle_alpha 90.00
_cell_angle_beta 90.00
_cell_angle_gamma 90.00
loop_
_atom_site_label
_atom_site_type_symbol
_atom_site_fract_x
_atom_site_fract_y
_atom_site_fract_z
_atom_site_occupancy
Ho1 Ho 0.000 0.000 0.000 1
Tc1 Tc 0.000 0.500 0.750 1
Ge1 Ge 0.000 0.000 0.373 1
Ru1 Ru 0.000 0.500 0.250 1
```

Entry 2:
Material: Sr3Tl2In2Hg4
Method: DFT, PBE
State: optimized geometry

Properties
Electronic total energy   -1.863 eV/atom
Energy of formation   -35.3 kJ/mol of atoms
D(E_F)   2.27 states/eV/cell
Size of the total moment   0.000 μB/f.u.

```
data_Sr3Tl2In2Hg4
_chemical_formula_sum 'Sr3 Tl2 In2 Hg4'
_symmetry_space_group_name_H-M 'P -3 m 1'
_symmetry_Int_Tables_number 164
_symmetry_space_group_name_Hall '-P 3 2"'
_cell_length_a 5.1690
_cell_length_b 5.1690
_cell_length_c 14.5148
_cell_angle_alpha 90.00
_cell_angle_beta 90.00
_cell_angle_gamma 120.00
loop_
_atom_site_label
_atom_site_type_symbol
_atom_site_fract_x
_atom_site_fract_y
_atom_site_fract_z
_atom_site_occupancy
Sr1 Sr 0.0000 0.0000 0.0000 1
Sr2 Sr 0.0000 0.0000 0.2714 1
Tl1 Tl 0.3333 0.6667 0.5660 1
In1 In 0.3333 0.6667 0.1434 1
Hg1 Hg 0.3333 0.6667 0.3575 1
Hg2 Hg 0.3333 0.6667 0.8736 1
```

Entry 3:
Material: Sm2Zn2GePd5
Method: DFT, PBE
State: optimized geometry

Properties
Electronic total energy   -4.889 eV/atom
Energy of formation   -61.0 kJ/mol of atoms
D(E_F)   8.57 states/eV/cell
Size of the total moment   0.000 μB/f.u.

```
data_Sm2Zn2GePd5
_chemical_formula_sum 'Sm4 Zn4 Ge2 Pd10'
_symmetry_space_group_name_H-M 'P 4/m b m'
_symmetry_Int_Tables_number 127
_symmetry_space_group_name_Hall '-P 4 2ab'
_cell_length_a 9.840
_cell_length_b 9.840
_cell_length_c 3.730
_cell_angle_alpha 90.00
_cell_angle_beta 90.00
_cell_angle_gamma 90.00
loop_
_atom_site_label
_atom_site_type_symbol
_atom_site_fract_x
_atom_site_fract_y
_atom_site_fract_z
_atom_site_occupancy
Sm1 Sm 0.177 0.323 0.000 1
Zn1 Zn 0.121 0.621 0.000 1
Ge1 Ge 0.000 0.000 0.000 1
Pd1 Pd 0.000 0.500 0.500 1
Pd2 Pd 0.063 0.797 0.500 1
```

Entry 4:
Material: CaZnAg2Au2
Method: DFT, PBE
State: optimized geometry

Properties
Electronic total energy   -2.553 eV/atom
Energy of formation   3.4 kJ/mol of atoms
D(E_F)   6.02 states/eV/cell
Size of the total moment   0.000 μB/f.u.

```
data_CaZnAg2Au2
_chemical_formula_sum 'Ca2 Zn2 Ag4 Au4'
_symmetry_space_group_name_H-M 'I 4/m m m'
_symmetry_Int_Tables_number 139
_symmetry_space_group_name_Hall '-I 4 2'
_cell_length_a 4.156
_cell_length_b 4.156
_cell_length_c 17.203
_cell_angle_alpha 90.00
_cell_angle_beta 90.00
_cell_angle_gamma 90.00
loop_
_atom_site_label
_atom_site_type_symbol
_atom_site_fract_x
_atom_site_fract_y
_atom_site_fract_z
_atom_site_occupancy
Ca1 Ca 0.000 0.000 0.000 1
Zn1 Zn 0.000 0.000 0.500 1
Ag1 Ag 0.000 0.500 0.250 1
Au1 Au 0.000 0.000 0.360 1
```

Entry 5:
Material: Pu
Method: DFT, PBE
State: optimized geometry

Properties
Electronic total energy   -14.254 eV/atom
Energy of formation   7.5 kJ/mol of atoms
Size of the total moment   0.000 μB/f.u.
Offset from the most stable computed form   78 meV per atom

```
data_Pu
_chemical_formula_sum 'Pu8'
_symmetry_space_group_name_H-M 'P 1 21/c 1'
_symmetry_Int_Tables_number 14
_symmetry_space_group_name_Hall '-P 2ybc'
_cell_length_a 6.377
_cell_length_b 3.589
_cell_length_c 6.910
_cell_angle_alpha 90.00
_cell_angle_beta 106.29
_cell_angle_gamma 90.00
loop_
_atom_site_label
_atom_site_type_symbol
_atom_site_fract_x
_atom_site_fract_y
_atom_site_fract_z
_atom_site_occupancy
Pu1 Pu 0.059 0.122 0.360 1
Pu2 Pu 0.426 0.109 0.328 1
```

Entry 6:
Material: PuHf2As4
Method: DFT, PBE
State: optimized geometry

Properties
Electronic total energy   -8.355 eV/atom
Energy of formation   -77.9 kJ/mol of atoms
D(E_F)   42.92 states/eV/cell
Size of the total moment   4.482 μB/f.u.

```
data_PuHf2As4
_chemical_formula_sum 'Pu4 Hf8 As16'
_symmetry_space_group_name_H-M 'C m c m'
_symmetry_Int_Tables_number 63
_symmetry_space_group_name_Hall '-C 2c 2'
_cell_length_a 3.881
_cell_length_b 12.530
_cell_length_c 12.913
_cell_angle_alpha 90.00
_cell_angle_beta 90.00
_cell_angle_gamma 90.00
loop_
_atom_site_label
_atom_site_type_symbol
_atom_site_fract_x
_atom_site_fract_y
_atom_site_fract_z
_atom_site_occupancy
Pu1 Pu 0.000 0.110 0.250 1
Hf1 Hf 0.000 0.365 0.058 1
As1 As 0.000 0.000 0.000 1
As2 As 0.000 0.267 0.629 1
As3 As 0.000 0.439 0.250 1
```

Entry 7:
Material: ErScPt2
Method: DFT, PBE
State: optimized geometry

Properties
Electronic total energy   -6.971 eV/atom
Energy of formation   -118.4 kJ/mol of atoms
D(E_F)   12.65 states/eV/cell
Size of the total moment   0.000 μB/f.u.
Offset from the most stable computed form   15 meV per atom

```
data_ErScPt2
_chemical_formula_sum 'Er4 Sc4 Pt8'
_symmetry_space_group_name_H-M 'F m -3 m'
_symmetry_Int_Tables_number 225
_symmetry_space_group_name_Hall '-F 4 2 3'
_cell_length_a 6.778
_cell_length_b 6.778
_cell_length_c 6.778
_cell_angle_alpha 90.00
_cell_angle_beta 90.00
_cell_angle_gamma 90.00
loop_
_atom_site_label
_atom_site_type_symbol
_atom_site_fract_x
_atom_site_fract_y
_atom_site_fract_z
_atom_site_occupancy
Er1 Er 0.000 0.000 0.000 1
Sc1 Sc 0.000 0.000 0.500 1
Pt1 Pt 0.250 0.250 0.250 1
```

Entry 8:
Material: Cu4AsW
Method: DFT, PBE
State: optimized geometry

Properties
Electronic total energy   -5.188 eV/atom
Energy of formation   45.9 kJ/mol of atoms
D(E_F)   18.35 states/eV/cell
Size of the total moment   0.000 μB/f.u.

```
data_Cu4AsW
_chemical_formula_sum 'Cu16 As4 W4'
_symmetry_space_group_name_H-M 'F -4 3 m'
_symmetry_Int_Tables_number 216
_symmetry_space_group_name_Hall 'F -4 2 3'
_cell_length_a 6.876
_cell_length_b 6.876
_cell_length_c 6.876
_cell_angle_alpha 90.00
_cell_angle_beta 90.00
_cell_angle_gamma 90.00
loop_
_atom_site_label
_atom_site_type_symbol
_atom_site_fract_x
_atom_site_fract_y
_atom_site_fract_z
_atom_site_occupancy
Cu1 Cu 0.125 0.125 0.125 1
As1 As 0.000 0.000 0.500 1
W1 W 0.250 0.250 0.750 1
```

Entry 9:
Material: La2Nd2SmHo
Method: DFT, PBE
State: optimized geometry

Properties
Electronic total energy   -4.730 eV/atom
Energy of formation   4.9 kJ/mol of atoms
D(E_F)   18.82 states/eV/cell
Size of the total moment   0.000 μB/f.u.

```
data_La2Nd2SmHo
_chemical_formula_sum 'La4 Nd4 Sm2 Ho2'
_symmetry_space_group_name_H-M 'P m m a'
_symmetry_Int_Tables_number 51
_symmetry_space_group_name_Hall '-P 2a 2a'
_cell_length_a 7.158
_cell_length_b 5.799
_cell_length_c 10.024
_cell_angle_alpha 90.00
_cell_angle_beta 90.00
_cell_angle_gamma 90.00
loop_
_atom_site_label
_atom_site_type_symbol
_atom_site_fract_x
_atom_site_fract_y
_atom_site_fract_z
_atom_site_occupancy
La1 La 0.000 0.000 0.000 1
La2 La 0.250 0.500 0.176 1
Nd1 Nd 0.250 0.000 0.333 1
Nd2 Nd 0.250 0.500 0.835 1
Sm1 Sm 0.250 0.000 0.659 1
Ho1 Ho 0.000 0.500 0.500 1
```

Entry 10:
Material: Re2Ni2Mo
Method: DFT, PBE
State: optimized geometry

Properties
Electronic total energy   -9.269 eV/atom
Energy of formation   18.2 kJ/mol of atoms
D(E_F)   12.38 states/eV/cell
Size of the total moment   0.000 μB/f.u.

```
data_Re2Ni2Mo
_chemical_formula_sum 'Re4 Ni4 Mo2'
_symmetry_space_group_name_H-M 'P 4/m b m'
_symmetry_Int_Tables_number 127
_symmetry_space_group_name_Hall '-P 4 2ab'
_cell_length_a 7.176
_cell_length_b 7.176
_cell_length_c 2.659
_cell_angle_alpha 90.00
_cell_angle_beta 90.00
_cell_angle_gamma 90.00
loop_
_atom_site_label
_atom_site_type_symbol
_atom_site_fract_x
_atom_site_fract_y
_atom_site_fract_z
_atom_site_occupancy
Re1 Re 0.177 0.323 0.000 1
Ni1 Ni 0.119 0.619 0.500 1
Mo1 Mo 0.000 0.000 0.500 1
```

Entry 11:
Material: SmPu4Pa
Method: DFT, PBE
State: optimized geometry

Properties
Electronic total energy   -11.606 eV/atom
Energy of formation   30.7 kJ/mol of atoms
D(E_F)   98.99 states/eV/cell
Size of the total moment   21.624 μB/f.u.

```
data_SmPu4Pa
_chemical_formula_sum 'Sm4 Pu16 Pa4'
_symmetry_space_group_name_H-M 'F -4 3 m'
_symmetry_Int_Tables_number 216
_symmetry_space_group_name_Hall 'F -4 2 3'
_cell_length_a 8.549
_cell_length_b 8.549
_cell_length_c 8.549
_cell_angle_alpha 90.00
_cell_angle_beta 90.00
_cell_angle_gamma 90.00
loop_
_atom_site_label
_atom_site_type_symbol
_atom_site_fract_x
_atom_site_fract_y
_atom_site_fract_z
_atom_site_occupancy
Sm1 Sm 0.000 0.000 0.000 1
Pu1 Pu 0.123 0.123 0.623 1
Pa1 Pa 0.250 0.250 0.250 1
```

Entry 12:
Material: Sm2AgSn4Pt3
Method: DFT, PBE
State: optimized geometry

Properties
Electronic total energy   -5.355 eV/atom
Energy of formation   -68.8 kJ/mol of atoms
D(E_F)   4.54 states/eV/cell
Size of the total moment   0.000 μB/f.u.

```
data_Sm2AgSn4Pt3
_chemical_formula_sum 'Sm2 Ag1 Sn4 Pt3'
_symmetry_space_group_name_H-M 'P -4 m 2'
_symmetry_Int_Tables_number 115
_symmetry_space_group_name_Hall 'P -4 -2'
_cell_length_a 4.546
_cell_length_b 4.546
_cell_length_c 11.024
_cell_angle_alpha 90.00
_cell_angle_beta 90.00
_cell_angle_gamma 90.00
loop_
_atom_site_label
_atom_site_type_symbol
_atom_site_fract_x
_atom_site_fract_y
_atom_site_fract_z
_atom_site_occupancy
Sm1 Sm 0.000 0.500 0.241 1
Ag1 Ag 0.500 0.500 0.000 1
Sn1 Sn 0.000 0.000 0.500 1
Sn2 Sn 0.000 0.500 0.864 1
Sn3 Sn 0.500 0.500 0.500 1
Pt1 Pt 0.000 0.000 0.000 1
Pt2 Pt 0.000 0.500 0.629 1
```